Pr3Y2In2 | the Alexandria database | PBE-GGA | relaxed; DOS at the Fermi energy = 8.4 states/eV per cell; formation energy = -0.161 eV per atom; uncorrected energy = -4.839 eV/atom; magnetic moment = 0.0000 μB/atom; ρ = 6.36 g/cm3
1.0
-1.312 -4.269 2.225
3.347 -1.172 -0.275
1.946 2.742 12.007
Pr In Y
3 2 2
direct
0.140 0.000 0.719 Pr
0.860 0.000 0.281 Pr
0.000 0.000 0.000 Pr
0.429 0.500 0.142 In
0.571 0.500 0.858 In
0.712 0.500 0.576 Y
0.288 0.500 0.424 Y

Th3PS3 | the Alexandria database | PBE-GGA | relaxed; DOS at the Fermi energy = 7.9 states/eV per cell; uncorrected energy = -7.112 eV/atom; magnetic moment = 0.0000 μB/atom; ΔE_f (raw) = -1.39 eV/atom; ρ = 7.59 g/cm3
1.0
7.273 0.312 0.531
-2.961 6.650 0.531
-0.147 -0.237 7.273
Th S P
6 6 2
direct
0.483 0.791 0.694 Th
0.517 0.209 0.306 Th
0.941 0.941 0.231 Th
0.209 0.517 0.306 Th
0.059 0.059 0.769 Th
0.791 0.483 0.694 Th
0.835 0.165 0.500 S
0.628 0.628 0.372 S
0.214 0.786 0.000 S
0.372 0.372 0.628 S
0.786 0.214 0.000 S
0.165 0.835 0.500 S
0.732 0.732 0.936 P
0.268 0.268 0.064 P

Pu6Te3AsP2 | the Alexandria database | PBE-GGA | relaxed; DOS at the Fermi energy = 60.9 states/eV per cell; uncorrected energy = -10.364 eV/atom; magnetic moment = 2.7297 μB/atom; ΔE_f (raw) = -1.12 eV/atom; ρ = 10.10 g/cm3
1.0
-2.868 1.205 6.617
-0.622 -6.588 -3.110
7.225 -0.187 1.818
Pu Te P As
6 3 2 1
direct
0.269 0.269 0.784 Pu
0.413 0.073 0.218 Pu
0.731 0.731 0.216 Pu
0.073 0.413 0.218 Pu
0.927 0.587 0.782 Pu
0.587 0.927 0.782 Pu
0.164 0.836 0.500 Te
0.836 0.164 0.500 Te
0.500 0.500 0.500 Te
0.667 0.333 0.000 P
0.333 0.667 0.000 P
0.000 0.000 0.000 As

Copy entry 1 word for word.
Pr3Y2In2 | the Alexandria database | PBE-GGA | relaxed; DOS at the Fermi energy = 8.4 states/eV per cell; formation energy = -0.161 eV per atom; uncorrected energy = -4.839 eV/atom; magnetic moment = 0.0000 μB/atom; ρ = 6.36 g/cm3
1.0
-1.312 -4.269 2.225
3.347 -1.172 -0.275
1.946 2.742 12.007
Pr In Y
3 2 2
direct
0.140 0.000 0.719 Pr
0.860 0.000 0.281 Pr
0.000 0.000 0.000 Pr
0.429 0.500 0.142 In
0.571 0.500 0.858 In
0.712 0.500 0.576 Y
0.288 0.500 0.424 Y